(1)
# ZnSbAu6 (PBE, relaxed)
# ΔE to the lowest computed polymorph (eV/atom): 0.0000
# Total energy (eV/cell): -50.53
# Energy relative to the elements, uncorrected (eV/f.u.): -0.206
# Crystal system: monoclinic
data_ZnSbAu6
_chemical_formula_sum 'Zn2 Sb2 Au12'
_space_group_name_H-M_alt 'C 1 2/m 1'
_space_group_IT_number 12
_space_group_name_Hall '-C 2y'
_cell_length_a 6.3140
_cell_length_b 8.2169
_cell_length_c 6.4554
_cell_angle_alpha 90.00
_cell_angle_beta 116.50
_cell_angle_gamma 90.00
loop_
_atom_site_label
_atom_site_fract_x
_atom_site_fract_y
_atom_site_fract_z
Zn1 0.0000 0.0000 0.0000
Sb1 0.0000 0.5000 0.0000
Au1 0.1182 0.2409 0.7503
Au2 0.2480 0.0000 0.4741

(2)
# Zn2SbAu (PBE, relaxed)
# Total energy (eV/cell): -29.38
# Energy relative to the elements, uncorrected (eV/f.u.): 0.154
# Crystal system: trigonal
data_Zn2SbAu
_chemical_formula_sum 'Zn6 Sb3 Au3'
_space_group_name_H-M_alt 'R -3 m'
_space_group_IT_number 166
_space_group_name_Hall '-R 3 2"'
_cell_length_a 3.3575
_cell_length_b 3.3575
_cell_length_c 24.4811
_cell_angle_alpha 90.00
_cell_angle_beta 90.00
_cell_angle_gamma 120.00
loop_
_atom_site_label
_atom_site_fract_x
_atom_site_fract_y
_atom_site_fract_z
Zn1 0.0000 0.0000 0.2420
Sb1 0.0000 0.0000 0.0000
Au1 0.0000 0.0000 0.5000